(1)
Below is crystalline Ca2MnNiO6 at its relaxed geometry, with properties calculated at the PBE with a Hubbard U level.

Output
**Uncorrected energy**: -61.91 eV/f.u.
**V**: 12.83 Å³ per atom

Cell and atoms, written as CIF:
```
data_Ca2MnNiO6
_cell_length_a 5.4778
_cell_length_b 5.4778
_cell_length_c 4.9366
_cell_angle_alpha 90.00
_cell_angle_beta 90.00
_cell_angle_gamma 120.00
_symmetry_space_group_name_H-M 'P 3 1 2'
_symmetry_Int_Tables_number 149
_symmetry_space_group_name_Hall 'P 3 2'
loop_
_atom_site_label
_atom_site_type_symbol
_atom_site_fract_x
_atom_site_fract_y
_atom_site_fract_z
_atom_site_occupancy
Ca1 Ca 0.0000 0.0000 0.0000 1
Ca2 Ca 0.3333 0.6667 0.5000 1
Mn1 Mn 0.6667 0.3333 0.0000 1
Ni1 Ni 0.6667 0.3333 0.5000 1
O1 O 0.4002 0.0670 0.2536 1
```

---

(2)
Below is crystalline Ca3MnNiO6 at its relaxed geometry, with properties calculated at the PBE with a Hubbard U level.

Output
**Uncorrected energy**: -70.33 eV/f.u.
**V**: 11.87 Å³ per atom

Cell and atoms, written as CIF:
```
data_Ca3MnNiO6
_cell_length_a 9.2185
_cell_length_b 9.2185
_cell_length_c 10.6475
_cell_angle_alpha 90.00
_cell_angle_beta 90.00
_cell_angle_gamma 120.00
_symmetry_space_group_name_H-M 'R -3 c'
_symmetry_Int_Tables_number 167
_symmetry_space_group_name_Hall '-R 3 2"c'
loop_
_atom_site_label
_atom_site_type_symbol
_atom_site_fract_x
_atom_site_fract_y
_atom_site_fract_z
_atom_site_occupancy
Ca1 Ca 0.0000 0.3609 0.2500 1
Mn1 Mn 0.0000 0.0000 0.0000 1
Ni1 Ni 0.0000 0.0000 0.2500 1
O1 O 0.0304 0.1806 0.3911 1
```